The following is a DFT calculation (PBE) of TlClO after structural relaxation.

calculated density	6.82	Mg/m³
formation energy (no corrections)	-0.57	eV per atom
crystal system	monoclinic
magnetic moment	0.000	μB per atom
density of states at the Fermi level	0.462	states/eV/atom
calculated total energy	-43.52	eV/cell

Lattice parameters (Å, degrees): 5.9746 5.7420 7.2805 90.00 93.38 90.00
With the nearest neighbours (Å) after each atom.
Space group P2_1/c (No. 14)
Symmetry-distinct sites (fractional):
Tl (0.1848, 0.0985, 0.1718) (multiplicity 4)  3 O 2.18-2.25
Cl (0.4182, 0.7489, 0.8797) (multiplicity 4)  2 Tl 2.58-2.82
O (0.0390, 0.2061, 0.8923) (multiplicity 4)  3 Tl 2.18-2.25